Below is a PBEsol-optimized structure of Sc3MoPt, with properties calculated at the SCAN level.

Calculated values
* ΔE_f: 130 meV/atom
* energy: -29.428 eV per atom
* D(E_F): 5.4 states/eV/f.u.
* theoretical density: 5.86 g/cm3

a b c (Å): 4.9422 4.9422 4.9422
angles (deg): 90.00 90.00 90.00
Space group Pm-3m (No. 221)
Inequivalent atoms, fractional coordinates:
Sc 0.0000 0.0000 0.5000 x3
Mo 0.5000 0.5000 0.5000 x1
Pt 0.0000 0.0000 0.0000 x1